Record 1
The following is a GGA-PBE calculation of an optimized crystal structure of ScAl2Re, from Alexandria via LeMat-Bulk.

```
4
Lattice="4.9855 -0.0004 0.0081 4.1997 2.6866 0.0081 0.7645 0.2236 4.9202" Properties=species:S:1:pos:R:3 pbc="T T T"
Re 4.8938 1.4312 2.5134
Al 0.8142 0.2381 4.8593
Sc 2.4647 0.7208 1.2563
Al 7.5163 2.1982 3.6956
```

Results
energy of formation from the pure elements = -102 meV/atom
VASP energy = -26.67 eV for the cell shown
M_tot = 0.00 μB per cell

---

Record 2
The following is a GGA-PBE calculation of an optimized crystal structure of Sc2AlRe, from Alexandria via LeMat-Bulk.

```
4
Lattice="1.6906 0.0000 10.0642 -0.8453 1.4641 10.0642 -0.8453 -1.4641 10.0642" Properties=species:S:1:pos:R:3 pbc="T T T"
Sc 0.0000 0.0000 27.5458
Sc 0.0000 0.0000 2.6470
Al 0.0000 0.0000 15.0964
Re 0.0000 0.0000 0.0000
```

Results
energy of formation from the pure elements = 317 meV/atom
VASP energy = -27.59 eV for the cell shown
M_tot = 0.00 μB per cell

---

Record 3
The following is a GGA-PBE calculation of an optimized crystal structure of Sc3AlRe, from Alexandria via LeMat-Bulk.

```
5
Lattice="5.0218 0.0000 0.0000 0.0000 5.0218 0.0000 0.0000 0.0000 5.0218" Properties=species:S:1:pos:R:3 pbc="T T T"
Sc 2.5109 0.0000 0.0000
Sc 0.0000 2.5109 0.0000
Sc 0.0000 0.0000 2.5109
Al 2.5109 2.5109 2.5109
Re 0.0000 0.0000 0.0000
```

Results
energy of formation from the pure elements = 341 meV/atom
VASP energy = -33.48 eV for the cell shown
M_tot = 0.00 μB per cell
ΔE to the lowest computed polymorph = 0.0 meV/atom

---

Record 4
The following is a GGA-PBE calculation of an optimized crystal structure of ScAl2Re, from Alexandria via LeMat-Bulk.

```
4
Lattice="3.6188 0.0000 0.0000 0.0000 4.2057 0.0000 0.0000 0.0000 4.2693" Properties=species:S:1:pos:R:3 pbc="T T T"
Al 1.8094 2.1028 0.0000
Al 0.0000 0.0000 0.0000
Re 1.8094 0.0000 2.1347
Sc 0.0000 2.1028 2.1347
```

Results
energy of formation from the pure elements = -238 meV/atom
VASP energy = -27.22 eV for the cell shown
M_tot = 0.00 μB per cell

---

Record 5
The following is a GGA-PBE calculation of an optimized crystal structure of ScAlReTc, from Alexandria via LeMat-Bulk.

```
4
Lattice="-3.8526 0.6699 2.1607 -0.8342 -2.1825 3.8080 -0.0288 2.2114 3.8819" Properties=species:S:1:pos:R:3 pbc="T T T"
Re 0.0000 0.0000 0.0000
Sc -2.3578 0.3494 4.9253
Tc -3.5367 0.5241 7.3880
Al -1.1789 0.1747 2.4627
```

Results
energy of formation from the pure elements = -190 meV/atom
VASP energy = -33.65 eV for the cell shown
M_tot = 0.00 μB per cell

---

Record 6
The following is a GGA-PBE calculation of an optimized crystal structure of ScAl2ReTe, from Alexandria via LeMat-Bulk.

```
5
Lattice="-1.1629 -4.0252 -2.1184 0.7309 -2.6840 4.6987 -4.5050 0.7171 1.1104" Properties=species:S:1:pos:R:3 pbc="T T T"
Sc -2.4685 -2.9960 1.8454
Al -0.5814 -2.0126 -1.0592
Al -2.2525 0.3585 0.5552
Te 0.3654 -1.3420 2.3494
Re 0.0000 0.0000 0.0000
```

Results
VASP energy = -27.27 eV for the cell shown
formation energy from raw total energies = 2.136 eV per formula unit
M_tot = 0.00 μB per cell

---

Record 7
The following is a GGA-PBE calculation of an optimized crystal structure of ScAlVRe, from Alexandria via LeMat-Bulk.

```
4
Lattice="4.4687 0.0000 0.0000 2.2344 3.8700 0.0000 2.2344 1.2900 3.6487" Properties=species:S:1:pos:R:3 pbc="T T T"
Al 6.7031 3.8700 2.7365
Re 2.2344 1.2900 0.9122
Sc 0.0000 0.0000 0.0000
V 4.4687 2.5800 1.8243
```

Results
energy of formation from the pure elements = -225 meV/atom
VASP energy = -32.54 eV for the cell shown
M_tot = 0.00 μB per cell

---

Record 8
The following is a GGA-PBE calculation of an optimized crystal structure of ScAlVRe2, from Alexandria via LeMat-Bulk.

```
5
Lattice="-1.1055 4.0464 -1.9797 -0.6550 -2.0097 -3.7420 -4.4489 -0.6609 1.1337" Properties=species:S:1:pos:R:3 pbc="T T T"
Sc 0.0000 0.0000 0.0000
V -0.3275 -1.0049 -1.8710
Re -0.5528 2.0232 -0.9898
Re -2.2244 -0.3304 0.5668
Al -3.1047 0.6879 -2.2940
```

Results
energy of formation from the pure elements = 1942 meV/atom
VASP energy = -34.38 eV for the cell shown
M_tot = 0.29 μB per cell

---

Record 9
The following is a GGA-PBE calculation of an optimized crystal structure of AlReSe, from Alexandria via LeMat-Bulk.

```
3
Lattice="4.2740 0.0000 0.0000 2.1370 3.7014 0.0000 2.1370 1.2338 3.4897" Properties=species:S:1:pos:R:3 pbc="T T T"
Al 4.2740 2.4676 1.7448
Se 0.0000 0.0000 0.0000
Re 6.4110 3.7014 2.6173
```

Results
VASP energy = -18.02 eV for the cell shown
formation energy from raw total energies = 1.651 eV per formula unit
M_tot = 0.00 μB per cell
ΔE to the lowest computed polymorph = 498.2 meV/atom

---

Record 10
The following is a GGA-PBE calculation of an optimized crystal structure of AlReSe, from Alexandria via LeMat-Bulk.

```
12
Lattice="2.9749 0.0000 0.0000 -1.4875 2.5764 0.0000 0.0000 0.0000 28.9658" Properties=species:S:1:pos:R:3 pbc="T T T"
Se 0.0000 1.7176 7.0145
Al 1.4875 0.8588 10.4960
Re 1.4875 0.8588 5.2121
Al 1.4875 0.8588 25.8271
Al 0.0000 1.7176 18.4698
Re 0.0000 1.7176 23.7537
Se 1.4875 0.8588 16.3931
Al 0.0000 1.7176 3.1387
Re 1.4875 0.8588 1.0090
Re 0.0000 1.7176 27.9568
Se 0.0000 1.7176 12.5726
Se 1.4875 0.8588 21.9513
```

Results
VASP energy = -78.07 eV for the cell shown
formation energy from raw total energies = 0.157 eV per formula unit
M_tot = 0.00 μB per cell
ΔE to the lowest computed polymorph = 0.0 meV/atom

---

Record 11
The following is a GGA-PBE calculation of an optimized crystal structure of AlRe2Se, from Alexandria via LeMat-Bulk.

```
4
Lattice="-0.7082 -1.9745 8.3821 -2.0829 -4.2403 7.2348 0.7951 -4.2660 7.4719" Properties=species:S:1:pos:R:3 pbc="T T T"
Re -1.0012 -5.2571 11.5811
Se -0.4990 -2.6202 5.7722
Al -1.4970 -7.8606 17.3166
Re -1.9929 -10.4641 23.0521
```

Results
VASP energy = -30.76 eV for the cell shown
formation energy from raw total energies = 1.366 eV per formula unit
M_tot = 0.00 μB per cell
ΔE to the lowest computed polymorph = 253.0 meV/atom

---

Record 12
The following is a GGA-PBE calculation of an optimized crystal structure of AlRe2Se, from Alexandria via LeMat-Bulk.

```
4
Lattice="2.7804 -0.0029 0.0000 -1.2205 2.4982 0.0000 0.0000 0.0000 9.6786" Properties=species:S:1:pos:R:3 pbc="T T T"
Re 0.7800 1.2477 2.2968
Se 0.0000 0.0000 4.5490
Re 0.0000 0.0000 0.1288
Al 0.7800 1.2477 7.5434
```

Results
VASP energy = -30.45 eV for the cell shown
formation energy from raw total energies = 1.678 eV per formula unit
M_tot = 0.00 μB per cell
ΔE to the lowest computed polymorph = 331.1 meV/atom